Below is a geometry-optimized NbP structure, with properties calculated at the PBE level.

a = 5.2944 Å, b = 4.7045 Å, c = 5.1029 Å
α = 90.00°, β = 90.00°, γ = 90.00°
With the nearest neighbours (Å) after each atom.
Element x y z (fractional)
Nb 0.0000 0.0000 0.0000  2 Nb 2.65, 6 P 2.70-2.88
Nb 0.2500 0.5000 0.3023  6 P 2.49-2.70
Nb 0.5000 0.0000 0.0000  2 Nb 2.65, 6 P 2.70-2.88
Nb 0.7500 0.5000 0.6977  6 P 2.49-2.70
P 0.2500 0.0000 0.4604  4 Nb 2.49-2.70, 2 P 2.68
P 0.2500 0.5000 0.8034  4 Nb 2.55-2.70
P 0.7500 0.0000 0.5396  4 Nb 2.49-2.70, 2 P 2.68
P 0.7500 0.5000 0.1966  4 Nb 2.55-2.70

Calculated values
The crystal system is orthorhombic. For the total energy, the calculation gives -65.30 eV per cell.